DFT (GGA+U) results for Li2SiNiO4 after structural relaxation.

Output
E = -48.893 eV per formula unit
Symmetry = No. 31
ΔE to the lowest computed polymorph = 0.0 meV/atom

Lattice parameters (Å, degrees): 6.304 5.372 4.924 90.00 90.00 90.00
Sites, in units of the cell vectors:
Li 0.250 0.172 0.000
Li 0.250 0.828 0.500
Li 0.750 0.172 0.000
Li 0.750 0.828 0.500
Si 0.000 0.333 0.510
Si 0.500 0.667 0.010
Ni 0.000 0.676 0.998
Ni 0.500 0.324 0.498
O 0.000 0.334 0.846
O 0.000 0.625 0.401
O 0.215 0.185 0.404
O 0.285 0.815 0.904
O 0.500 0.375 0.901
O 0.500 0.666 0.346
O 0.715 0.815 0.904
O 0.785 0.185 0.404